1.
First-principles (PBE-GGA) data for AlTe2AuI after structural relaxation, as listed in Alexandria.

Cell lengths 5.3912, 5.3912, 5.3467 Å; angles 90.00, 90.00, 90.00 degrees
With the nearest neighbours (Å) after each atom.
Fractional positions:
1 Al 0.0000 0.0000 0.0000  2 I 2.67, 4 Te 2.70
2 Te 0.0000 0.5000 0.0000  2 Al 2.70
3 Te 0.5000 0.0000 0.0000  2 Al 2.70
4 Au 0.5000 0.5000 0.5000  8 Te 3.80, 4 I 3.81
5 I 0.0000 0.0000 0.5000  2 Al 2.67

Computed properties:
- total DFT energy (no corrections) (Ha/atom) = -0.092
- magnetization (μB per formula unit) = 0.0
- formation energy from raw total energies (eV per formula unit) = 2.32



2.
First-principles (PBE-GGA) data for Zn2CuP after structural relaxation, as listed in Alexandria.

Cell lengths 4.1699, 4.1699, 6.1873 Å; angles 111.40, 111.40, 40.17 degrees
With the nearest neighbours (Å) after each atom.
Fractional positions:
1 Zn 0.0000 0.0000 0.0000  5 Zn 2.57-2.86, 3 Cu 2.61-2.67, 2 P 2.72
2 Zn 0.2055 0.2055 0.7610  2 P 2.55, 3 Zn 2.57-2.63
3 Cu 0.7882 0.7882 0.2503  3 P 2.35-2.38, 2 Zn 2.61
4 P 0.5519 0.5519 0.3945  3 Cu 2.35-2.38, 2 Zn 2.55

Computed properties:
- total DFT energy (no corrections) (Ha/atom) = -0.107
- magnetization (μB per formula unit) = 0.0
- ΔH_f (0 K) (kJ/mol of formula units) = 38



3.
First-principles (PBE-GGA) data for K3Na7Sb2 after structural relaxation, as listed in Alexandria.

Cell lengths 17.5128, 17.5128, 5.4213 Å; angles 90.00, 90.00, 162.09 degrees
With the nearest neighbours (Å) after each atom.
Fractional positions:
1 K 0.0000 0.0000 0.0000  12 Na 3.84-4.02
2 K 0.1656 0.8344 0.0000  8 Na 3.87-4.20, 4 Sb 4.08
3 K 0.8344 0.1656 0.0000  8 Na 3.87-4.20, 4 Sb 4.08
4 Na 0.0858 0.9142 0.5000  2 Sb 3.06
5 Na 0.2857 0.7143 0.5000  1 Sb 3.05
6 Na 0.4145 0.5855 0.0000  2 Sb 3.05
7 Na 0.5000 0.5000 0.5000  4 K 3.84, 8 Na 4.01-4.03
8 Na 0.5855 0.4145 0.0000  2 Sb 3.05
9 Na 0.7143 0.2857 0.5000  1 Sb 3.05
10 Na 0.9142 0.0858 0.5000  2 Sb 3.06
11 Sb 0.3739 0.6261 0.5000  5 Na 3.05-3.06
12 Sb 0.6261 0.3739 0.5000  5 Na 3.05-3.06

Computed properties:
- total DFT energy (no corrections) (Ha/atom) = -0.070
- magnetization (μB per formula unit) = 0.0
- formation energy from raw total energies (eV per formula unit) = -2.16



4.
First-principles (PBE-GGA) data for LiBH16O10 after structural relaxation, as listed in Alexandria.

Cell lengths 6.0903, 6.4315, 6.4988 Å; angles 119.52, 90.05, 90.70 degrees
With the nearest neighbours (Å) after each atom.
Fractional positions:
1 Li 0.0000 0.0000 0.0000  4 O 1.94-1.97
2 B 0.4191 0.3305 0.6671  4 O 1.48-1.50
3 H 0.0072 0.2798 0.8410  1 O 1.01
4 H 0.0071 0.5632 0.7337  1 O 1.00
5 H 0.1010 0.2255 0.5176  1 O 1.00
6 H 0.2564 0.6653 0.3355  1 O 1.00
7 H 0.3895 0.0594 0.8971  1 O 1.00
8 H 0.3885 0.0946 0.1590  1 O 1.00
9 H 0.4238 0.6997 0.8933  1 O 0.99
10 H 0.4637 0.6180 0.1724  1 O 1.00
11 H 0.4853 0.4308 0.4127  1 O 0.99
12 H 0.4885 0.9747 0.5604  1 O 0.99
13 H 0.7531 0.6308 0.7935  1 O 1.00
14 H 0.7538 0.1436 0.3605  1 O 1.00
15 H 0.7539 0.2111 0.8486  1 O 1.00
16 H 0.8966 0.9142 0.3236  1 O 1.00
17 H 0.9195 0.6704 0.4868  1 O 1.00
18 H 0.9195 0.5167 0.2003  1 O 1.00
19 O 0.1742 0.3383 0.6706  1 H 1.00
20 O 0.3235 0.9956 0.9969  2 H 1.00
21 O 0.4207 0.6660 0.3376  2 H 1.00
22 O 0.5017 0.2878 0.4321  1 H 0.99
23 O 0.5043 0.1351 0.7033  1 H 0.99
24 O 0.5052 0.5556 0.8666  1 H 0.99
25 O 0.8950 0.6858 0.7560  2 H 1.00
26 O 0.8962 0.2501 0.9385  2 H 1.00-1.01
27 O 0.8983 0.0622 0.3085  2 H 1.00
28 O 0.9687 0.6708 0.3399  2 H 1.00

Computed properties:
- total DFT energy (no corrections) (Ha/atom) = -0.193
- magnetization (μB per formula unit) = 0.0



5.
First-principles (PBE-GGA) data for Ce2PmHf after structural relaxation, as listed in Alexandria.

Cell lengths 4.7122, 4.7122, 4.9855 Å; angles 90.00, 90.00, 90.00 degrees
With the nearest neighbours (Å) after each atom.
Fractional positions:
1 Ce 0.0000 0.5000 0.0000  4 Ce 3.33, 4 Hf 3.43, 4 Pm 3.43
2 Ce 0.5000 0.0000 0.0000  4 Ce 3.33, 4 Hf 3.43, 4 Pm 3.43
3 Pm 0.0000 0.0000 0.5000  4 Hf 3.33, 8 Ce 3.43
4 Hf 0.5000 0.5000 0.5000  4 Pm 3.33, 8 Ce 3.43

Computed properties:
- total DFT energy (no corrections) (Ha/atom) = -0.237
- magnetization (μB per formula unit) = 0.0
- ΔH_f (0 K) (kJ/mol of formula units) = 75



6.
First-principles (PBE-GGA) data for AcTlGaBi after structural relaxation, as listed in Alexandria.

Cell lengths 5.5768, 5.5768, 5.5768 Å; angles 60.00, 60.00, 60.00 degrees
With the nearest neighbours (Å) after each atom.
Fractional positions:
1 Ac 0.0000 0.0000 0.0000  4 Ga 3.42, 4 Tl 3.42
2 Tl 0.2500 0.2500 0.2500  4 Ac 3.42, 4 Bi 3.42
3 Ga 0.7500 0.7500 0.7500  4 Ac 3.42, 4 Bi 3.42
4 Bi 0.5000 0.5000 0.5000  4 Ga 3.42, 4 Tl 3.42

Computed properties:
- total DFT energy (no corrections) (Ha/atom) = -0.132
- magnetization (μB per formula unit) = 0.0
- ΔH_f (0 K) (kJ/mol of formula units) = -94



7.
First-principles (PBE-GGA) data for Nd9DyHo2 after structural relaxation, as listed in Alexandria.

Cell lengths 5.1512, 5.1512, 15.4571 Å; angles 90.00, 90.00, 90.00 degrees
With the nearest neighbours (Å) after each atom.
Fractional positions:
1 Nd 0.0000 0.0000 0.0000  4 Dy 3.64, 8 Nd 3.65
2 Nd 0.0000 0.0000 0.3337  8 Nd 3.64, 4 Ho 3.64
3 Nd 0.0000 0.0000 0.6663  8 Nd 3.64, 4 Ho 3.64
4 Nd 0.0000 0.5000 0.1670  2 Ho 3.64, 8 Nd 3.64-3.65, 2 Dy 3.65
5 Nd 0.0000 0.5000 0.5000  8 Nd 3.64, 4 Ho 3.64
6 Nd 0.0000 0.5000 0.8330  2 Ho 3.64, 8 Nd 3.64-3.65, 2 Dy 3.65
7 Nd 0.5000 0.0000 0.1670  2 Ho 3.64, 8 Nd 3.64-3.65, 2 Dy 3.65
8 Nd 0.5000 0.0000 0.5000  8 Nd 3.64, 4 Ho 3.64
9 Nd 0.5000 0.0000 0.8330  2 Ho 3.64, 8 Nd 3.64-3.65, 2 Dy 3.65
10 Dy 0.5000 0.5000 0.0000  12 Nd 3.64-3.65
11 Ho 0.5000 0.5000 0.3335  12 Nd 3.64
12 Ho 0.5000 0.5000 0.6665  12 Nd 3.64

Computed properties:
- total DFT energy (no corrections) (Ha/atom) = -0.173
- magnetization (μB per formula unit) = 0.0
- ΔH_f (0 K) (kJ/mol of formula units) = 18



8.
First-principles (PBE-GGA) data for Ho3ErTh7 after structural relaxation, as listed in Alexandria.

Cell lengths 8.4271, 8.4271, 5.8877 Å; angles 109.78, 109.78, 82.99 degrees
With the nearest neighbours (Å) after each atom.
Fractional positions:
1 Ho 0.0000 0.0000 0.0000  4 Th 3.19
2 Ho 0.2042 0.7958 0.5000  7 Th 3.30-3.66
3 Ho 0.7958 0.2042 0.5000  7 Th 3.30-3.66
4 Er 0.5000 0.5000 0.0000  4 Th 2.94-3.24
5 Th 0.0095 0.5975 0.8040  2 Ho 3.19-3.56, 3 Th 3.31-3.44
6 Th 0.2126 0.2126 0.6986  1 Er 3.24, 2 Ho 3.31, 2 Th 3.44
7 Th 0.4025 0.9905 0.1960  2 Ho 3.19-3.56, 3 Th 3.31-3.44
8 Th 0.5000 0.5000 0.5000  2 Er 2.94
9 Th 0.5975 0.0095 0.8040  2 Ho 3.19-3.56, 3 Th 3.31-3.44
10 Th 0.7874 0.7874 0.3014  1 Er 3.24, 2 Ho 3.31, 2 Th 3.44
11 Th 0.9905 0.4025 0.1960  2 Ho 3.19-3.56, 3 Th 3.31-3.44

Computed properties:
- total DFT energy (no corrections) (Ha/atom) = -0.221
- magnetization (μB per formula unit) = 0.0
- ΔH_f (0 K) (kJ/mol of formula units) = 389



9.
First-principles (PBE-GGA) data for PrTePbO6 after structural relaxation, as listed in Alexandria.

Cell lengths 5.8768, 5.8768, 9.3029 Å; angles 90.00, 90.00, 120.00 degrees
With the nearest neighbours (Å) after each atom.
Fractional positions:
1 Pr 0.3333 0.6667 0.2500  6 O 2.40
2 Pr 0.6667 0.3333 0.7500  6 O 2.40
3 Te 0.3333 0.6667 0.7500  6 O 1.96
4 Te 0.6667 0.3333 0.2500  6 O 1.96
5 Pb 0.0000 0.0000 0.0000  6 O 2.47
6 Pb 0.0000 0.0000 0.5000  6 O 2.47
7 O 0.0552 0.3878 0.6332  1 Te 1.96
8 O 0.0552 0.6674 0.8668  1 Te 1.96
9 O 0.3326 0.3878 0.8668  1 Te 1.96
10 O 0.3326 0.9448 0.6332  1 Te 1.96
11 O 0.3878 0.0552 0.1332  1 Te 1.96
12 O 0.3878 0.3326 0.3668  1 Te 1.96
13 O 0.6122 0.6674 0.6332  1 Te 1.96
14 O 0.6122 0.9448 0.8668  1 Te 1.96
15 O 0.6674 0.0552 0.3668  1 Te 1.96
16 O 0.6674 0.6122 0.1332  1 Te 1.96
17 O 0.9448 0.3326 0.1332  1 Te 1.96
18 O 0.9448 0.6122 0.3668  1 Te 1.96

Computed properties:
- total DFT energy (no corrections) (Ha/atom) = -0.227
- magnetization (μB per formula unit) = 0.0
- formation energy from raw total energies (eV per formula unit) = -14.13



10.
First-principles (PBE-GGA) data for DyTm5Ge4 after structural relaxation, as listed in Alexandria.

Cell lengths 7.8921, 7.8921, 6.8450 Å; angles 90.16, 90.16, 36.01 degrees
With the nearest neighbours (Å) after each atom.
Fractional positions:
1 Dy 0.0000 0.0000 0.0000  6 Ge 2.99-3.20
2 Tm 0.0000 0.0000 0.5000  6 Ge 2.97-3.19
3 Tm 0.3351 0.3351 0.0062  5 Ge 2.91-3.13
4 Tm 0.3352 0.3352 0.4923  5 Ge 2.89-3.12
5 Tm 0.6648 0.6648 0.5077  5 Ge 2.89-3.12
6 Tm 0.6649 0.6649 0.9938  5 Ge 2.91-3.13
7 Ge 0.1799 0.1799 0.7491  7 Tm 2.92-3.19, 1 Dy 3.20
8 Ge 0.4887 0.4887 0.7475  6 Tm 2.89-3.13, 2 Dy 2.99
9 Ge 0.5113 0.5113 0.2525  6 Tm 2.89-3.13, 2 Dy 2.99
10 Ge 0.8201 0.8201 0.2509  7 Tm 2.92-3.19, 1 Dy 3.20

Computed properties:
- total DFT energy (no corrections) (Ha/atom) = -0.190
- magnetization (μB per formula unit) = 0.0
- ΔH_f (0 K) (kJ/mol of formula units) = -598



| no. | N(E_F) (states/eV/f.u.) |
| --- | --- |
| 1 | 6.786 |
| 2 | 1.272 |
| 3 | 2.926 |
| 4 | 0.000 |
| 5 | 9.379 |
| 6 | 3.672 |
| 7 | 20.128 |
| 8 | 16.194 |
| 9 | 3.883 |
| 10 | 4.625 |